VASP calculation (PBE) on a relaxed structure of Tb4SmY2Er2.

Calculated values
Density of states at the Fermi level ... 1.356 states/eV per atom
Calculated density ... 7.49 g/cm3
Total moment ... 0.000 Bohr magnetons per cell
Energy of formation ... 0.00 eV per atom
Symmetry ... C2/m

Lattice parameters (Å, degrees): 3.5911 9.4948 9.5432 115.23 90.00 100.90
Fractional positions:
Tb  0.8148  0.6297  0.6658
Tb  0.1852  0.3703  0.3342
Tb  0.5184  0.0368  0.3335
Tb  0.4816  0.9632  0.6665
Sm  0.0000  0.0000  0.0000
Y  0.8520  0.7041  0.3325
Y  0.1480  0.2959  0.6675
Er  0.3323  0.6645  0.9985
Er  0.6677  0.3355  0.0015